Computed, not measured: a relaxed structure of B2C at the PBE level of DFT.

Total magnetization, μB per formula unit: 0.00
ρ, g/cm3: 2.76
Space-group type: C2/m
ΔH_f (0 K), eV/atom: 0.42
Volume, Å³ per cell: 81
E_tot, eV per cell: -85.3
Offset from the most stable computed form, meV/atom: 230

Unit cell a=6.718 b=6.718 c=5.262 alpha=96.36 beta=96.36 gamma=20.09
Positions (direct):
B: 0.066 0.066 0.072
B: 0.087 0.087 0.757
B: 0.222 0.222 0.880
B: 0.382 0.382 0.696
B: 0.618 0.618 0.304
B: 0.778 0.778 0.120
B: 0.913 0.913 0.243
B: 0.934 0.934 0.928
C: 0.261 0.261 0.582
C: 0.445 0.445 0.455
C: 0.555 0.555 0.545
C: 0.739 0.739 0.418

=====

Computed, not measured: a relaxed structure of ErCrN2 at the PBE level of DFT.

Total magnetization, μB per formula unit: 2.75
ρ, g/cm3: 9.08
Formation energy (no corrections), eV/atom: -1.0412
Space-group type: R-3m
Volume, Å³ per cell: 45
E_tot, eV per cell: -35.0

Unit cell a=5.362 b=5.362 c=5.362 alpha=34.97 beta=34.97 gamma=34.97
Positions (direct):
Er: 0.000 0.000 0.000
Cr: 0.500 0.500 0.500
N: 0.239 0.239 0.239
N: 0.761 0.761 0.761

=====

Computed, not measured: a relaxed structure of Y2NpZn2Rh5 at the PBE level of DFT.

Total magnetization, μB per formula unit: 2.48
ρ, g/cm3: 9.95
Space-group type: P4/mbm
ΔH_f (0 K), eV/atom: -0.61
Volume, Å³ per cell: 354
E_tot, eV per cell: -142.6

Unit cell a=9.802 b=9.802 c=3.684 alpha=90.00 beta=90.00 gamma=90.00
Positions (direct):
Y: 0.170 0.330 0.000
Y: 0.330 0.830 0.000
Y: 0.670 0.170 0.000
Y: 0.830 0.670 0.000
Np: 0.000 0.000 0.000
Np: 0.500 0.500 0.000
Zn: 0.125 0.625 0.000
Zn: 0.375 0.125 0.000
Zn: 0.625 0.875 0.000
Zn: 0.875 0.375 0.000
Rh: 0.000 0.500 0.500
Rh: 0.068 0.799 0.500
Rh: 0.201 0.068 0.500
Rh: 0.299 0.568 0.500
Rh: 0.432 0.299 0.500
Rh: 0.500 0.000 0.500
Rh: 0.568 0.701 0.500
Rh: 0.701 0.432 0.500
Rh: 0.799 0.932 0.500
Rh: 0.932 0.201 0.500

=====

Computed, not measured: a relaxed structure of Mn2VW at the PBE level of DFT.

Total magnetization, μB per formula unit: 0.00
ρ, g/cm3: 11.27
Space-group type: P4/mmm
ΔH_f (0 K), eV/atom: -0.09
Volume, Å³ per cell: 51
E_tot, eV per cell: -40.8

Unit cell a=2.920 b=2.920 c=5.955 alpha=90.00 beta=90.00 gamma=90.00
Positions (direct):
Mn: 0.000 0.000 0.235
Mn: 0.000 0.000 0.765
V: 0.500 0.500 0.000
W: 0.500 0.500 0.500